The following is a DFT calculation (GGA+U) of an optimized crystal structure of VNi2MoO6.

```
10
Lattice="-2.8051 -2.7450 -0.2832 3.7210 -3.5407 -2.5369 1.5149 -2.0762 5.1198" Properties=species:S:1:pos:R:3 pbc="T T T"
Ni -1.5959 -3.3411 2.3223
O 1.0626 -5.2099 -0.7778
Mo -1.9752 -1.9329 -0.1994
O -0.7435 -3.4914 0.4535
O -0.6033 -0.5904 -0.0609
O 1.7979 -6.2177 1.7072
V 0.8025 -4.5851 1.1082
O 1.9983 -3.4149 1.2289
Ni -0.4928 -4.0733 -1.5060
O -0.0082 -4.4991 2.9386
```

Results
symmetry = P4mm (99)
D(E_F) = 2.85 states/eV per cell
E_tot = -6.18 eV/atom